[1]
Crystalline LaCo2HgTe at its relaxed geometry, computed with PBE.

Values from the calculation:
As for the total energy: -3.93 eV/atom. Its magnetization is 3.3 μB/f.u. The calculated volume comes out at 26.55 Å³/atom.

```
5
Lattice="-2.1031 0.5652 -4.3299 4.5410 -2.2510 -2.4995 -1.9747 -4.4095 0.3836" Properties=species:S:1:pos:R:3 pbc="T T T"
Co -1.0516 0.2826 -2.1649
Co -0.9873 -2.2048 0.1918
Te 2.2705 -1.1255 -1.2497
Hg 0.0000 0.0000 0.0000
La 0.2316 -3.0477 -3.2229
```

=====

[2]
Crystalline LaTl2CoHg at its relaxed geometry, computed with PBE.

Values from the calculation:
The calculated formation energy is -0.20 eV/atom. As for the total energy: -3.61 eV/atom. Its magnetization is 0.0 μB/f.u. The calculated volume comes out at 26.56 Å³/atom.

```
5
Lattice="5.1437 0.0000 0.0000 0.0000 5.1437 0.0000 0.0000 0.0000 5.0203" Properties=species:S:1:pos:R:3 pbc="T T T"
Hg 2.5718 2.5718 2.5101
Co 0.0000 0.0000 0.0000
Tl 0.0000 2.5718 0.0000
Tl 2.5718 0.0000 0.0000
La 0.0000 0.0000 2.5101
```

=====

[3]
Crystalline LaTlCoHg2 at its relaxed geometry, computed with PBE.

Values from the calculation:
The calculated formation energy is -0.13 eV/atom. As for the total energy: -3.13 eV/atom. Its magnetization is 0.0 μB/f.u. The calculated volume comes out at 26.22 Å³/atom.

```
5
Lattice="-1.3792 -1.6267 -4.7425 -4.6876 -1.3268 1.8183 -1.6586 4.4357 -1.0391" Properties=species:S:1:pos:R:3 pbc="T T T"
Hg -0.6896 -0.8134 -2.3713
Hg -2.3438 -0.6634 0.9092
Tl -3.8627 0.7410 -1.9817
Co 0.0000 0.0000 0.0000
La -0.8293 2.2178 -0.5196
```

=====

[4]
Crystalline LaY2CoHg at its relaxed geometry, computed with PBE.

Values from the calculation:
The calculated formation energy is -0.17 eV/atom. As for the total energy: -5.22 eV/atom. Its magnetization is 0.0 μB/f.u. The calculated volume comes out at 28.56 Å³/atom.

```
5
Lattice="5.2610 0.0000 0.0000 0.0000 5.2610 0.0000 0.0000 0.0000 5.1589" Properties=species:S:1:pos:R:3 pbc="T T T"
Co 0.0000 0.0000 0.0000
La 0.0000 0.0000 2.5794
Y 0.0000 2.6305 0.0000
Y 2.6305 0.0000 0.0000
Hg 2.6305 2.6305 2.5794
```

=====

[5]
Crystalline La2YCoHg at its relaxed geometry, computed with PBE.

Values from the calculation:
The calculated formation energy is -0.20 eV/atom. As for the total energy: -4.95 eV/atom. Its magnetization is 0.0 μB/f.u. The calculated volume comes out at 29.24 Å³/atom.

```
5
Lattice="-1.9998 1.1081 4.6572 -4.3102 -2.6130 -1.2291 2.1811 -4.5474 2.0186" Properties=species:S:1:pos:R:3 pbc="T T T"
Hg -2.0644 -3.0262 2.7233
Y 1.0906 -2.2737 1.0093
La -0.9999 0.5540 2.3286
La -2.1551 -1.3065 -0.6146
Co 0.0000 0.0000 0.0000
```

=====

[6]
Crystalline LaZn2CoHg at its relaxed geometry, computed with PBE.

Values from the calculation:
The calculated formation energy is -0.14 eV/atom. As for the total energy: -3.12 eV/atom. Its magnetization is 0.0 μB/f.u. The calculated volume comes out at 22.70 Å³/atom.

```
5
Lattice="4.8084 0.0000 0.0000 0.0000 4.8084 0.0000 0.0000 0.0000 4.9083" Properties=species:S:1:pos:R:3 pbc="T T T"
Co 0.0000 0.0000 0.0000
Zn 2.4042 0.0000 0.0000
Zn 0.0000 2.4042 0.0000
Hg 2.4042 2.4042 2.4542
La 0.0000 0.0000 2.4542
```

=====

- Among the records above, which one has the highest magnetization?
  LaCo2HgTe